# 1
4
Lattice="3.874 0.000 0.000 0.000 2.173 5.343 0.000 -2.173 5.343" Properties=species:S:1:pos:R:3 comment="SmYSi2 | Alexandria via LeMat-Bulk | PBE | relaxed" e_form_raw_ev_per_fu=-3.268 vol_a3_per_atom=22.5 polymorph_energy_ev_per_atom=0.0016 pbc="T T T"
Sm 0.000 0.000 0.000
Y 1.937 0.000 2.995
Si 0.000 0.000 7.651
Si 1.937 0.000 6.055


# 2
10
Lattice="7.706 -2.506 0.000 7.706 2.506 0.000 -0.052 0.000 6.898" Properties=species:S:1:pos:R:3 comment="Sm5YSi4 | Alexandria via LeMat-Bulk | PBE | relaxed" e_form_raw_ev_per_fu=-5.130 vol_a3_per_atom=26.6 pbc="T T T"
Sm 0.000 0.000 0.000
Sm 5.127 0.000 3.397
Sm 5.171 0.000 0.023
Sm 10.188 0.000 6.875
Sm 10.232 0.000 3.501
Y -0.026 0.000 3.449
Si 2.677 0.000 5.171
Si 7.535 0.000 5.128
Si 7.824 0.000 1.770
Si 12.682 0.000 1.727


# 3
18
Lattice="8.969 0.000 0.000 0.000 8.969 0.000 0.000 0.000 5.965" Properties=species:S:1:pos:R:3 comment="Sm4YSi4 | Alexandria via LeMat-Bulk | PBE | relaxed" e_form_raw_ev_per_fu=-4.351 vol_a3_per_atom=26.7 pbc="T T T"
Sm 0.578 5.968 0.697
Sm 1.483 8.391 3.679
Sm 3.002 5.063 3.679
Sm 3.906 7.486 0.697
Sm 5.063 1.483 5.268
Sm 5.968 3.906 2.286
Sm 7.486 0.578 2.286
Sm 8.391 3.002 5.268
Y 2.242 2.242 1.491
Y 6.727 6.727 4.474
Si 0.118 5.531 3.622
Si 1.047 8.852 0.640
Si 3.438 4.602 0.640
Si 4.367 7.923 3.622
Si 4.602 1.047 2.343
Si 5.531 4.367 5.325
Si 7.923 0.118 5.325
Si 8.852 3.438 2.343


# 4
10
Lattice="5.440 -2.133 0.000 5.440 2.133 0.000 -5.098 0.000 9.345" Properties=species:S:1:pos:R:3 comment="Sm2ZnSi2 | Alexandria via LeMat-Bulk | PBE | relaxed" e_form_raw_ev_per_fu=-3.261 vol_a3_per_atom=21.7 pbc="T T T"
Sm -0.927 0.000 3.856
Sm -1.185 0.000 7.927
Sm 6.967 0.000 1.418
Sm 6.709 0.000 5.488
Zn 3.895 0.000 1.789
Zn 1.887 0.000 7.556
Si -4.248 0.000 8.535
Si 2.217 0.000 3.623
Si 3.565 0.000 5.722
Si 10.030 0.000 0.810


# 5
7
Lattice="-2.027 2.103 9.614 2.027 -2.103 9.614 2.027 2.103 -9.614" Properties=species:S:1:pos:R:3 comment="Sm3Zn3Si | Alexandria via LeMat-Bulk | PBE | relaxed" e_form_raw_ev_per_fu=-2.892 vol_a3_per_atom=23.4 pbc="T T T"
Sm 0.000 0.000 0.000
Sm 0.000 0.000 7.159
Sm 0.000 2.103 3.773
Zn 2.027 0.000 2.418
Zn 0.000 0.000 10.599
Zn 0.000 0.000 15.891
Si 2.027 0.000 4.866


# 6
6
Lattice="-2.056 2.087 7.012 2.056 -2.087 7.012 2.056 2.087 -7.012" Properties=species:S:1:pos:R:3 comment="Sm2ZnSi3 | Alexandria via LeMat-Bulk | PBE | relaxed" e_form_raw_ev_per_fu=-4.108 vol_a3_per_atom=20.0 polymorph_energy_ev_per_atom=0.0000 pbc="T T T"
Sm 0.000 0.000 0.000
Sm 0.000 2.087 3.626
Zn 0.000 0.000 8.280
Si 2.056 0.000 2.401
Si 2.056 0.000 4.736
Si 0.000 0.000 5.921


# 7
8
Lattice="5.961 0.000 0.000 0.000 4.091 0.000 -2.888 0.000 7.991" Properties=species:S:1:pos:R:3 comment="Sm2ZnSi | Alexandria via LeMat-Bulk | PBE | relaxed" e_form_raw_ev_per_fu=-2.107 vol_a3_per_atom=24.4 pbc="T T T"
Sm 0.054 1.023 3.380
Sm 1.517 3.068 0.522
Sm 1.556 1.023 7.468
Sm 3.019 3.068 4.611
Zn -1.319 1.023 6.233
Zn 4.392 3.068 1.757
Si 0.095 3.068 5.672
Si 2.978 1.023 2.318


# 8
7
Lattice="2.489 1.437 8.650 -2.489 1.437 8.650 0.000 -2.874 8.650" Properties=species:S:1:pos:R:3 comment="Sm4ZnSi2 | Alexandria via LeMat-Bulk | PBE | relaxed" e_form_raw_ev_per_fu=-2.593 vol_a3_per_atom=26.5 pbc="T T T"
Sm 0.000 0.000 3.144
Sm 0.000 0.000 7.585
Sm 0.000 0.000 18.364
Sm 0.000 0.000 22.805
Zn 0.000 0.000 12.974
Si 0.000 0.000 10.567
Si 0.000 0.000 15.382


What is the formula in the second record? Sm5YSi4


Please write out number 5 again, unchanged.
7
Lattice="-2.027 2.103 9.614 2.027 -2.103 9.614 2.027 2.103 -9.614" Properties=species:S:1:pos:R:3 comment="Sm3Zn3Si | Alexandria via LeMat-Bulk | PBE | relaxed" e_form_raw_ev_per_fu=-2.892 vol_a3_per_atom=23.4 pbc="T T T"
Sm 0.000 0.000 0.000
Sm 0.000 0.000 7.159
Sm 0.000 2.103 3.773
Zn 2.027 0.000 2.418
Zn 0.000 0.000 10.599
Zn 0.000 0.000 15.891
Si 2.027 0.000 4.866